TlCdI | Alexandria via LeMat-Bulk | PBE-GGA | optimized geometry; E_form (uncorrected) = -0.242 eV per atom; theoretical density = 6.3 g/cm3; density of states at the Fermi level = 0.017 states/eV/atom; electronic total energy = -1.8528 eV per atom
1.0
4.9375 0.0000 0.0000
-2.4688 4.2760 0.0000
0.0000 0.0000 5.5444
Tl Cd I
1 1 1
direct
0.0000 0.0000 0.0000
0.3333 0.6667 0.7050
0.6667 0.3333 0.3535